A plane-wave DFT calculation with PBE-GGA was carried out for a relaxed structure of ZnSi2Mo.

As for the total magnetization: 0.00 Bohr magnetons per cell. The formation energy without anion corrections is 118 meV per atom.

The space group is Pm (No. 6) and the conventional cell measures 2.745, 4.182 and 5.051 Å, with angles of 90.00, 91.43 and 90.00 degrees. Symmetry generates all atoms from Zn at (0.000, 0.000, 0.000), Si at (0.053, 0.000, 0.492), Si at (0.332, 0.500, 0.778) and Mo at (0.512, 0.500, 0.290).